Record 1
# Ca2Pd3Au (PBE, optimized geometry)
# Calculated formation energy ... -405 meV/atom
# Energy above the lowest structure with this stoichiometry ... 0.3094 eV per atom
# Magnetization ... 0.0000 μB/atom
# Space group ... Immm, No. 71
data_Ca2Pd3Au
_cell_length_a 4.9642
_cell_length_b 5.5448
_cell_length_c 5.9155
_cell_angle_alpha 117.95
_cell_angle_beta 114.81
_cell_angle_gamma 90.00
_symmetry_space_group_name_H-M 'P 1'
_symmetry_Int_Tables_number 1
loop_
_symmetry_equiv_pos_as_xyz
'x,y,z'
loop_
_atom_site_label
_atom_site_fract_x
_atom_site_fract_y
_atom_site_fract_z
Au1 0.0000 0.5000 0.0000
Pd1 0.3531 0.3531 0.7063
Pd2 0.6469 0.6469 0.2937
Pd3 0.0000 0.0000 0.0000
Ca1 0.3171 0.8171 0.6341
Ca2 0.6829 0.1829 0.3659

=====

Record 2
# Ti2ZnB2Ru5 (PBE, optimized geometry)
# Calculated formation energy ... -472 meV/atom
# Magnetization ... 0.0000 μB/atom
# Space group ... P4/mbm, No. 127
data_Ti2ZnB2Ru5
_cell_length_a 3.0110
_cell_length_b 9.1946
_cell_length_c 9.1946
_cell_angle_alpha 90.00
_cell_angle_beta 90.00
_cell_angle_gamma 90.00
_symmetry_space_group_name_H-M 'P 1'
_symmetry_Int_Tables_number 1
loop_
_symmetry_equiv_pos_as_xyz
'x,y,z'
loop_
_atom_site_label
_atom_site_fract_x
_atom_site_fract_y
_atom_site_fract_z
Zn1 0.0000 0.0000 0.0000
Zn2 0.0000 0.5000 0.5000
Ru1 0.5000 0.5000 0.0000
Ru2 0.5000 0.2864 0.5742
Ru3 0.5000 0.9258 0.2136
Ru4 0.5000 0.7864 0.9258
Ru5 0.5000 0.0000 0.5000
Ru6 0.5000 0.0742 0.7864
Ru7 0.5000 0.4258 0.2864
Ru8 0.5000 0.5742 0.7136
Ru9 0.5000 0.2136 0.0742
Ru10 0.5000 0.7136 0.4258
B1 0.0000 0.8733 0.3733
B2 0.0000 0.3733 0.1267
B3 0.0000 0.6267 0.8733
B4 0.0000 0.1267 0.6267
Ti1 0.0000 0.1748 0.3252
Ti2 0.0000 0.8252 0.6748
Ti3 0.0000 0.6748 0.1748
Ti4 0.0000 0.3252 0.8252

=====

Record 3
# Na2CdNiH6 (PBE, optimized geometry)
# Magnetization ... 0.0000 μB/atom
# Space group ... P-3m1, No. 164
# Raw total energy ... -29.41 eV for the cell shown
data_Na2CdNiH6
_cell_length_a 5.0069
_cell_length_b 5.1575
_cell_length_c 5.1575
_cell_angle_alpha 120.00
_cell_angle_beta 90.00
_cell_angle_gamma 90.00
_symmetry_space_group_name_H-M 'P 1'
_symmetry_Int_Tables_number 1
loop_
_symmetry_equiv_pos_as_xyz
'x,y,z'
loop_
_atom_site_label
_atom_site_fract_x
_atom_site_fract_y
_atom_site_fract_z
Ni1 0.0000 0.0000 0.0000
H1 0.1888 0.8466 0.1534
H2 0.1888 0.3069 0.1534
H3 0.1888 0.8466 0.6931
H4 0.8112 0.1534 0.8466
H5 0.8112 0.6931 0.8466
H6 0.8112 0.1534 0.3069
Cd1 0.5000 0.0000 0.0000
Na1 0.8261 0.6667 0.3333
Na2 0.1739 0.3333 0.6667

=====

Record 4
# LaMnP2S (PBE, optimized geometry)
# Energy above the lowest structure with this stoichiometry ... 0.0000 eV per atom
# Magnetization ... 0.4877 μB/atom
# Space group ... P4/mmm, No. 123
# Raw formation energy ... -689 meV per atom
data_LaMnP2S
_cell_length_a 4.4430
_cell_length_b 4.4430
_cell_length_c 4.9309
_cell_angle_alpha 90.00
_cell_angle_beta 90.00
_cell_angle_gamma 90.00
_symmetry_space_group_name_H-M 'P 1'
_symmetry_Int_Tables_number 1
loop_
_symmetry_equiv_pos_as_xyz
'x,y,z'
loop_
_atom_site_label
_atom_site_fract_x
_atom_site_fract_y
_atom_site_fract_z
P1 0.5000 0.0000 0.0000
P2 0.0000 0.5000 0.0000
La1 0.5000 0.5000 0.5000
S1 0.0000 0.0000 0.5000
Mn1 0.0000 0.0000 0.0000

=====

Record 5
# Cs2KSbTe4 (PBE, optimized geometry)
# Magnetization ... 0.0000 μB/atom
# Space group ... Fddd, No. 70
# Raw formation energy ... -607 meV per atom
data_Cs2KSbTe4
_cell_length_a 7.1184
_cell_length_b 9.4237
_cell_length_c 13.8507
_cell_angle_alpha 84.43
_cell_angle_beta 75.11
_cell_angle_gamma 67.81
_symmetry_space_group_name_H-M 'P 1'
_symmetry_Int_Tables_number 1
loop_
_symmetry_equiv_pos_as_xyz
'x,y,z'
loop_
_atom_site_label
_atom_site_fract_x
_atom_site_fract_y
_atom_site_fract_z
Cs1 0.1836 0.0000 0.6327
Cs2 0.8164 0.0000 0.3673
Cs3 0.5664 0.5000 0.8673
Cs4 0.9336 0.5000 0.1327
Te1 0.3950 0.7014 0.3607
Te2 0.9036 0.7014 0.6393
Te3 0.3550 0.7986 0.1393
Te4 0.8464 0.7986 0.8607
Te5 0.2929 0.2014 0.8607
Te6 0.5057 0.2014 0.1393
Te7 0.4571 0.2986 0.6393
Te8 0.2443 0.2986 0.3607
Sb1 0.2500 0.5000 0.5000
Sb2 0.5000 0.0000 0.0000
K1 0.0000 0.0000 0.0000
K2 0.7500 0.5000 0.5000